ErTlHg | PBE | relaxed

Values from the calculation:
Energy above the most stable polymorph in this dataset (eV per atom): 0.1019

Cell lengths 7.0774, 7.0774, 7.0774 Å; angles 90.00, 90.00, 90.00 degrees
Last column: nearest neighbours and their distance in Å.
Space group F-43m (No. 216)
Inequivalent atoms, fractional coordinates:
Er 0.0000 0.0000 0.0000  4 Hg 3.06, 4 Tl 3.06
Tl 0.2500 0.2500 0.2500  4 Er 3.06
Hg 0.2500 0.2500 0.7500  4 Er 3.06

=====

Mg2CuW | PBE | relaxed

Values from the calculation:
VASP energy (Ry/atom): -0.317

Cell lengths 6.4102, 6.4102, 6.4102 Å; angles 90.00, 90.00, 90.00 degrees
Last column: nearest neighbours and their distance in Å.
Space group F-43m (No. 216)
Inequivalent atoms, fractional coordinates:
Mg 0.0000 0.0000 0.0000  4 Mg 2.78, 4 Cu 2.78
Mg 0.2500 0.2500 0.2500  4 W 2.78, 4 Mg 2.78
Cu 0.2500 0.2500 0.7500  4 W 2.78, 4 Mg 2.78
W 0.0000 0.0000 0.5000  4 Cu 2.78, 4 Mg 2.78

=====

HoAgSnTe3 | PBE | relaxed

Values from the calculation:
Energy above the most stable polymorph in this dataset (eV per atom): 0.0230

Cell lengths 19.4168, 4.2918, 8.9403 Å; angles 90.00, 102.13, 90.00 degrees
Last column: nearest neighbours and their distance in Å.
Space group C2/m (No. 12)
Inequivalent atoms, fractional coordinates:
Ho 0.1631 0.0000 0.0891  6 Te 3.07-3.10
Ag 0.0423 0.5000 0.2138  4 Te 2.81-2.88
Sn 0.1280 0.0000 0.5713  7 Te 3.24-3.50
Te 0.0000 0.0000 0.0000  4 Ag 2.88, 2 Ho 3.10
Te 0.0000 0.5000 0.5000  2 Ag 2.85
Te 0.1738 0.5000 0.8492  3 Ho 3.07-3.10, 2 Sn 3.26
Te 0.1875 0.5000 0.3413  1 Ag 2.81, 2 Ho 3.08

=====

DyBiB4 | PBE | relaxed

Values from the calculation:
Energy above the most stable polymorph in this dataset (eV per atom): 0.0000

Cell lengths 3.2147, 5.3757, 8.7450 Å; angles 90.00, 90.00, 90.00 degrees
Last column: nearest neighbours and their distance in Å.
Space group Immm (No. 71)
Inequivalent atoms, fractional coordinates:
Dy 0.0000 0.0000 0.0000  12 B 2.81-2.87, 4 Bi 3.13
Bi 0.0000 0.0000 0.5000  12 B 2.73-2.94
B 0.0000 0.3256 0.2599  3 B 1.81-1.88

=====

TbNi6Ge4 | PBE | relaxed

Values from the calculation:
VASP energy (Ry/atom): -0.415

Cell lengths 6.8220, 6.8220, 3.7837 Å; angles 90.00, 90.00, 120.00 degrees
Last column: nearest neighbours and their distance in Å.
Space group P-6m2 (No. 187)
Inequivalent atoms, fractional coordinates:
Tb 0.0000 0.0000 0.0000  6 Ge 2.95, 6 Ni 3.08
Ni 0.2055 0.4110 0.5000  4 Ge 2.35-2.42, 2 Ni 2.62
Ni 0.5370 0.0739 0.0000  5 Ge 2.41-2.48, 2 Ni 2.65
Ge 0.3333 0.6667 0.0000  9 Ni 2.41-2.42
Ge 0.3842 0.1921 0.5000  6 Ni 2.35-2.48

=====

HoTlAgTe3 | PBE | relaxed

Values from the calculation:
VASP energy (Ry/atom): -0.285

Cell lengths 4.2126, 15.5396, 11.3596 Å; angles 90.00, 90.00, 90.00 degrees
Last column: nearest neighbours and their distance in Å.
Space group Cmcm (No. 63)
Inequivalent atoms, fractional coordinates:
Ho 0.0000 0.0000 0.0000  6 Te 3.07-3.12
Tl 0.0000 0.2378 0.2500  8 Te 3.47-3.88, 2 Ag 3.76
Ag 0.0000 0.4630 0.7500  4 Te 2.80-2.81
Te 0.0000 0.0827 0.7500  2 Ag 2.81, 2 Ho 3.12
Te 0.0000 0.3602 0.5473  1 Ag 2.80, 2 Ho 3.07

=====

Nb2Co3B2 | PBE | relaxed

Values from the calculation:
VASP energy (Ry/atom): -0.610

Cell lengths 8.6155, 3.1727, 6.1440 Å; angles 90.00, 114.30, 90.00 degrees
Last column: nearest neighbours and their distance in Å.
Space group C2/m (No. 12)
Inequivalent atoms, fractional coordinates:
Nb 0.1427 0.0000 0.2822  4 B 2.41-2.68, 6 Co 2.63-2.68
Co 0.0000 0.5000 0.5000  4 B 2.14
Co 0.1262 0.5000 0.9311  3 B 2.10-2.22
B 0.1483 0.0000 0.7208  5 Co 2.10-2.22

=====

SrTcAs | PBE | relaxed

Values from the calculation:
Energy above the most stable polymorph in this dataset (eV per atom): 0.0000

Cell lengths 6.5596, 6.5596, 6.5596 Å; angles 90.00, 90.00, 90.00 degrees
Last column: nearest neighbours and their distance in Å.
Space group F-43m (No. 216)
Inequivalent atoms, fractional coordinates:
Sr 0.0000 0.0000 0.0000  4 As 2.84
Tc 0.0000 0.0000 0.5000  4 As 2.84
As 0.2500 0.2500 0.2500  4 Tc 2.84, 4 Sr 2.84